LaGeRh2: relaxed, PBE-GGA.

Results
The electronic total energy comes out at -6.827 eV/atom. The energy of formation comes out at -0.765 eV per atom.

Structure (POSCAR):
```
LaGeRh2
1.0
4.3561 0.0000 0.0000
0.0000 5.6641 0.0000
0.0000 0.0000 6.5090
Ge Rh La
2 4 2
direct
0.5000 0.2500 0.3384 Ge
0.5000 0.7500 0.6616 Ge
0.5000 0.0000 0.0000 Rh
0.0000 0.2500 0.1733 Rh
0.0000 0.7500 0.8267 Rh
0.5000 0.5000 0.0000 Rh
0.0000 0.2500 0.7199 La
0.0000 0.7500 0.2801 La
```